1.
Entry from the Alexandria database: a crystal of Ta2CuPCl relaxed with PBEsol (meta-GGA SCAN).

abc: 4.7085 4.7085 4.0533
angles: 90.00 90.00 90.00
With the nearest neighbours (Å) after each atom.
Element x y z (fractional)
Ta  0.0000  0.5000  0.0000  2 P 2.35
Ta  0.5000  0.0000  0.0000  2 P 2.35
Cu  0.0000  0.0000  0.5000  2 P 2.03
P  0.0000  0.0000  0.0000  2 Cu 2.03
Cl  0.5000  0.5000  0.5000  8 Ta 3.11, 4 Cu 3.33

## Properties
Formation energy (no corrections)   0.767 eV per atom
Symmetry   No. 123
E   -162.909 eV for the cell shown
Total moment   0.00 Bohr magnetons per cell
Fermi-level density of states   3.4 states/eV/cell
V   89.9 Å³ per cell



2.
Entry from the Alexandria database: a crystal of CuP2WCl relaxed with PBEsol (meta-GGA SCAN).

abc: 4.6515 4.6515 4.7088
angles: 90.00 90.00 90.00
With the nearest neighbours (Å) after each atom.
Element x y z (fractional)
Cu  0.0000  0.0000  0.0000  4 Cl 3.29, 8 P 3.31
P  0.0000  0.5000  0.5000  2 W 2.33
P  0.5000  0.0000  0.5000  2 W 2.33
W  0.5000  0.5000  0.5000  4 P 2.33, 2 Cl 2.35
Cl  0.5000  0.5000  0.0000  2 W 2.35

## Properties
Formation energy (no corrections)   0.705 eV per atom
Symmetry   No. 123
E   -110.137 eV for the cell shown
Total moment   0.00 Bohr magnetons per cell
Fermi-level density of states   2.6 states/eV/cell
V   101.9 Å³ per cell